{"formula": "NiAgH2", "functional": "SCAN", "state": "PBEsol geometry", "dos_ef_per_ev_cell": 0.89, "spacegroup": "Fm-3m (225)", "magnetic_moment_mub_per_atom": 0.0000, "final_energy_ev_per_atom": -12.957, "lattice": [[-0.479, 2.776, -2.262], [-3.206, 1.657, -0.173], [-0.376, 3.349, 1.304]], "species": ["Ag", "Ni", "H", "H"], "frac_coords": [[0.500, 0.500, 0.500], [0.000, 0.000, 0.000], [0.750, 0.750, 0.750], [0.250, 0.250, 0.250]]}

=====

{"formula": "ScNiAg2H", "functional": "SCAN", "state": "PBEsol geometry", "dos_ef_per_ev_cell": 2.38, "spacegroup": "P4/mmm (123)", "magnetic_moment_mub_per_atom": 0.0010, "final_energy_ev_per_atom": -18.568, "lattice": [[3.281, 0.000, 0.000], [0.000, 5.003, 0.000], [0.000, 0.000, 5.003]], "species": ["Ni", "Ag", "H", "Sc", "Ag"], "frac_coords": [[0.500, 0.500, 0.500], [0.000, 0.000, 0.500], [0.500, 0.000, 0.000], [0.000, 0.000, 0.000], [0.000, 0.500, 0.000]]}

=====

{"formula": "AgH9O5", "functional": "SCAN", "state": "PBEsol geometry", "dos_ef_per_ev_cell": 0.00, "spacegroup": "P2_12_12_1 (19)", "magnetic_moment_mub_per_atom": 0.0000, "final_energy_ev_per_atom": -7.151, "lattice": [[5.752, 0.000, 0.000], [0.000, 7.087, 0.000], [0.000, 0.000, 12.071]], "species": ["H", "O", "H", "H", "O", "H", "O", "O", "H", "O", "H", "H", "H", "Ag", "H", "H", "H", "H", "O", "H", "H", "O", "O", "O", "H", "H", "H", "Ag", "O", "O", "H", "O", "H", "O", "H", "H", "Ag", "O", "H", "H", "H", "O", "H", "H", "H", "H", "Ag", "H", "H", "H", "O", "O", "H", "O", "O", "O", "H", "H", "H", "H"], "frac_coords": [[0.183, 0.460, 0.813], [0.268, 0.414, 0.745], [0.897, 0.594, 0.049], [0.313, 0.538, 0.174], [0.782, 0.608, 0.111], [0.267, 0.493, 0.491], [0.203, 0.107, 0.109], [0.401, 0.447, 0.063], [0.365, 0.030, 0.409], [0.598, 0.941, 0.066], [0.349, 0.034, 0.090], [0.767, 0.007, 0.509], [0.733, 0.993, 0.009], [0.905, 0.378, 0.250], [0.844, 0.189, 0.587], [0.635, 0.530, 0.091], [0.088, 0.091, 0.046], [0.846, 0.183, 0.916], [0.599, 0.947, 0.437], [0.603, 0.406, 0.549], [0.813, 0.962, 0.826], [0.282, 0.892, 0.889], [0.718, 0.392, 0.611], [0.297, 0.893, 0.609], [0.588, 0.409, 0.954], [0.412, 0.909, 0.546], [0.687, 0.038, 0.326], [0.595, 0.622, 0.750], [0.901, 0.053, 0.937], [0.768, 0.086, 0.255], [0.151, 0.966, 0.590], [0.099, 0.553, 0.563], [0.912, 0.591, 0.454], [0.732, 0.914, 0.755], [0.135, 0.970, 0.909], [0.317, 0.540, 0.313], [0.095, 0.878, 0.250], [0.218, 0.108, 0.389], [0.654, 0.817, 0.416], [0.651, 0.534, 0.410], [0.156, 0.689, 0.913], [0.797, 0.607, 0.391], [0.656, 0.811, 0.087], [0.233, 0.507, 0.991], [0.187, 0.462, 0.674], [0.397, 0.906, 0.951], [0.405, 0.122, 0.750], [0.849, 0.466, 0.910], [0.683, 0.040, 0.187], [0.154, 0.683, 0.584], [0.232, 0.586, 0.245], [0.098, 0.559, 0.934], [0.103, 0.094, 0.451], [0.402, 0.441, 0.434], [0.902, 0.059, 0.566], [0.703, 0.393, 0.891], [0.346, 0.317, 0.084], [0.865, 0.470, 0.591], [0.817, 0.960, 0.687], [0.344, 0.311, 0.413]]}

=====

{"formula": "AgH3O", "functional": "SCAN", "state": "PBEsol geometry", "dos_ef_per_ev_cell": 0.95, "spacegroup": "Pm-3m (221)", "magnetic_moment_mub_per_atom": 0.0374, "final_energy_ev_per_atom": -8.692, "lattice": [[-1.979, 1.560, 2.101], [-1.752, -2.747, 0.388], [1.943, -0.888, 2.490]], "species": ["Ag", "H", "O", "H", "H"], "frac_coords": [[0.500, 0.500, 0.500], [0.000, 0.000, 0.500], [0.000, 0.000, 0.000], [0.500, 0.000, 0.000], [0.000, 0.500, 0.000]]}

=====

{"formula": "AgH8O5", "functional": "SCAN", "state": "PBEsol geometry", "spacegroup": "P2_12_12_1 (19)", "magnetic_moment_mub_per_atom": 0.0714, "final_energy_ev_per_atom": -7.315, "lattice": [[6.199, 0.000, 0.000], [0.000, 6.182, 0.000], [0.000, 0.000, 12.449]], "species": ["H", "O", "H", "O", "H", "H", "H", "H", "H", "O", "H", "H", "H", "O", "O", "O", "O", "O", "O", "H", "H", "H", "O", "O", "H", "H", "H", "H", "Ag", "H", "O", "O", "Ag", "H", "O", "H", "H", "H", "O", "O", "Ag", "H", "H", "Ag", "H", "O", "O", "H", "H", "H", "H", "O", "H", "O", "H", "H"], "frac_coords": [[0.294, 0.885, 0.130], [0.283, 0.112, 0.100], [0.282, 0.556, 0.915], [0.211, 0.510, 0.488], [0.310, 0.634, 0.088], [0.805, 0.342, 0.224], [0.944, 0.198, 0.692], [0.706, 0.385, 0.370], [0.801, 0.009, 0.753], [0.672, 0.575, 0.657], [0.829, 0.578, 0.178], [0.329, 0.922, 0.822], [0.190, 0.366, 0.588], [0.789, 0.010, 0.012], [0.791, 0.150, 0.715], [0.825, 0.774, 0.843], [0.175, 0.274, 0.657], [0.291, 0.350, 0.285], [0.172, 0.925, 0.343], [0.778, 0.298, 0.833], [0.278, 0.202, 0.167], [0.195, 0.842, 0.276], [0.675, 0.226, 0.343], [0.717, 0.612, 0.400], [0.782, 0.944, 0.085], [0.305, 0.158, 0.776], [0.206, 0.115, 0.630], [0.695, 0.658, 0.724], [0.536, 0.248, 0.000], [0.718, 0.056, 0.585], [0.328, 0.075, 0.843], [0.783, 0.388, 0.900], [0.036, 0.252, 0.000], [0.794, 0.615, 0.870], [0.711, 0.990, 0.512], [0.199, 0.509, 0.747], [0.301, 0.491, 0.247], [0.171, 0.078, 0.322], [0.325, 0.726, 0.157], [0.828, 0.425, 0.157], [0.964, 0.752, 0.500], [0.556, 0.802, 0.192], [0.671, 0.422, 0.678], [0.464, 0.748, 0.500], [0.444, 0.302, 0.308], [0.709, 0.850, 0.215], [0.289, 0.490, 0.988], [0.722, 0.702, 0.333], [0.810, 0.866, 0.912], [0.222, 0.798, 0.667], [0.056, 0.698, 0.808], [0.209, 0.650, 0.785], [0.699, 0.991, 0.253], [0.217, 0.888, 0.600], [0.690, 0.134, 0.412], [0.218, 0.444, 0.415]]}

=====

{"formula": "Ag2P2H2O7", "functional": "SCAN", "state": "PBEsol geometry", "dos_ef_per_ev_cell": 0.00, "spacegroup": "Fddd (70)", "magnetic_moment_mub_per_atom": 0.0000, "final_energy_ev_per_atom": -11.923, "lattice": [[7.110, 0.000, 0.000], [3.555, 6.127, 0.000], [3.555, 0.000, 13.559]], "species": ["H", "O", "O", "P", "H", "P", "Ag", "O", "H", "P", "O", "O", "Ag", "H", "Ag", "O", "O", "Ag", "P", "O", "H", "O", "O", "P", "Ag", "O", "O", "O", "O", "O", "O", "H", "O", "O", "Ag", "O", "O", "P", "H", "O", "Ag", "H", "O", "O", "Ag", "O", "P", "O", "O", "O", "O", "P"], "frac_coords": [[0.632, 0.500, 0.736], [0.828, 0.828, 0.917], [0.106, 0.838, 0.760], [0.124, 0.212, 0.352], [0.868, 0.500, 0.264], [0.626, 0.288, 0.148], [0.042, 0.720, 0.408], [0.134, 0.162, 0.760], [0.118, 0.000, 0.764], [0.226, 0.712, 0.148], [0.644, 0.662, 0.740], [0.255, 0.172, 0.917], [0.169, 0.280, 0.592], [0.931, 0.138, 0.500], [0.581, 0.220, 0.908], [0.616, 0.338, 0.740], [0.704, 0.162, 0.240], [0.511, 0.780, 0.908], [0.524, 0.788, 0.352], [0.495, 0.328, 0.583], [0.882, 0.000, 0.236], [0.177, 0.328, 0.417], [0.401, 0.500, 0.197], [0.062, 0.712, 0.852], [0.239, 0.720, 0.592], [0.099, 0.500, 0.803], [0.959, 0.135, 0.412], [0.791, 0.365, 0.088], [0.406, 0.672, 0.417], [0.244, 0.635, 0.912], [0.844, 0.365, 0.912], [0.569, 0.862, 0.500], [0.906, 0.135, 0.588], [0.651, 0.000, 0.697], [0.200, 0.220, 0.092], [0.055, 0.838, 0.240], [0.922, 0.672, 0.583], [0.086, 0.288, 0.852], [0.819, 0.362, 0.000], [0.344, 0.828, 0.083], [0.550, 0.280, 0.408], [0.181, 0.638, 0.000], [0.046, 0.338, 0.260], [0.349, 0.000, 0.303], [0.708, 0.780, 0.092], [0.695, 0.662, 0.260], [0.664, 0.212, 0.648], [0.121, 0.635, 0.088], [0.573, 0.172, 0.083], [0.629, 0.865, 0.412], [0.506, 0.865, 0.588], [0.688, 0.788, 0.648]]}

=====

{"formula": "AgP2HO", "functional": "SCAN", "state": "PBEsol geometry", "dos_ef_per_ev_cell": 2.97, "spacegroup": "P4/mmm (123)", "magnetic_moment_mub_per_atom": 0.0003, "final_energy_ev_per_atom": -10.790, "lattice": [[3.883, 0.000, 0.000], [0.000, 4.773, 0.000], [0.000, 0.000, 4.773]], "species": ["O", "Ag", "H", "P", "P"], "frac_coords": [[0.500, 0.000, 0.000], [0.000, 0.000, 0.000], [0.500, 0.500, 0.500], [0.000, 0.000, 0.500], [0.000, 0.500, 0.000]]}

=====

{"formula": "Ag2H4S3O12", "functional": "SCAN", "state": "PBEsol geometry", "dos_ef_per_ev_cell": 0.00, "spacegroup": "Pna2_1 (33)", "magnetic_moment_mub_per_atom": 0.0000, "final_energy_ev_per_atom": -9.776, "lattice": [[7.073, 0.000, 0.000], [0.000, 10.090, 0.000], [0.000, 0.000, 13.845]], "species": ["O", "O", "O", "H", "S", "H", "O", "H", "O", "Ag", "O", "O", "O", "Ag", "S", "H", "H", "S", "O", "O", "H", "O", "Ag", "O", "O", "O", "O", "S", "O", "O", "S", "S", "S", "O", "S", "O", "H", "Ag", "Ag", "O", "Ag", "O", "O", "O", "O", "S", "O", "O", "O", "O", "O", "S", "O", "O", "H", "O", "H", "H", "O", "H", "O", "O", "H", "H", "O", "O", "O", "O", "Ag", "O", "O", "H", "S", "O", "O", "O", "S", "O", "O", "O", "O", "H", "Ag", "H"], "frac_coords": [[0.170, 0.006, 0.835], [0.054, 0.168, 0.283], [0.637, 0.011, 0.936], [0.062, 0.061, 0.868], [0.773, 0.099, 0.979], [0.280, 0.817, 0.005], [0.216, 0.045, 0.087], [0.438, 0.561, 0.868], [0.289, 0.800, 0.778], [0.617, 0.848, 0.807], [0.079, 0.852, 0.413], [0.332, 0.777, 0.519], [0.442, 0.958, 0.202], [0.883, 0.348, 0.807], [0.126, 0.855, 0.830], [0.949, 0.752, 0.977], [0.780, 0.683, 0.505], [0.874, 0.145, 0.330], [0.374, 0.354, 0.186], [0.554, 0.332, 0.783], [0.051, 0.248, 0.477], [0.863, 0.511, 0.936], [0.253, 0.629, 0.666], [0.558, 0.042, 0.702], [0.058, 0.458, 0.202], [0.211, 0.300, 0.778], [0.878, 0.194, 0.433], [0.285, 0.920, 0.140], [0.711, 0.200, 0.278], [0.635, 0.543, 0.067], [0.227, 0.901, 0.479], [0.273, 0.401, 0.479], [0.727, 0.599, 0.979], [0.789, 0.700, 0.278], [0.374, 0.355, 0.830], [0.284, 0.545, 0.087], [0.567, 0.452, 0.579], [0.247, 0.129, 0.666], [0.753, 0.871, 0.166], [0.716, 0.455, 0.587], [0.383, 0.152, 0.307], [0.668, 0.223, 0.019], [0.622, 0.694, 0.433], [0.421, 0.352, 0.413], [0.784, 0.955, 0.587], [0.626, 0.645, 0.330], [0.365, 0.457, 0.567], [0.874, 0.146, 0.686], [0.135, 0.957, 0.567], [0.625, 0.169, 0.562], [0.330, 0.506, 0.835], [0.215, 0.420, 0.140], [0.375, 0.831, 0.062], [0.446, 0.668, 0.283], [0.562, 0.439, 0.368], [0.832, 0.723, 0.019], [0.449, 0.748, 0.477], [0.551, 0.252, 0.977], [0.626, 0.646, 0.686], [0.938, 0.939, 0.368], [0.865, 0.043, 0.067], [0.137, 0.489, 0.436], [0.933, 0.952, 0.579], [0.433, 0.548, 0.079], [0.168, 0.277, 0.519], [0.946, 0.832, 0.783], [0.921, 0.148, 0.913], [0.122, 0.806, 0.933], [0.747, 0.371, 0.166], [0.875, 0.669, 0.562], [0.830, 0.994, 0.335], [0.220, 0.317, 0.005], [0.715, 0.080, 0.640], [0.942, 0.542, 0.702], [0.126, 0.854, 0.186], [0.363, 0.989, 0.436], [0.785, 0.580, 0.640], [0.579, 0.648, 0.913], [0.125, 0.331, 0.062], [0.670, 0.494, 0.335], [0.378, 0.306, 0.933], [0.720, 0.183, 0.505], [0.117, 0.652, 0.307], [0.067, 0.048, 0.079]]}

=====

{"formula": "AgHPb2", "functional": "SCAN", "state": "PBEsol geometry", "dos_ef_per_ev_cell": 1.75, "spacegroup": "Fm-3m (225)", "magnetic_moment_mub_per_atom": 0.0000, "final_energy_ev_per_atom": -46.151, "lattice": [[4.828, 0.000, 0.000], [2.414, 4.181, 0.000], [2.414, 1.394, 3.942]], "species": ["Ag", "Pb", "Pb", "H"], "frac_coords": [[0.500, 0.500, 0.500], [0.250, 0.250, 0.250], [0.750, 0.750, 0.750], [0.000, 0.000, 0.000]]}

=====

{"formula": "AgH2Pb", "functional": "SCAN", "state": "PBEsol geometry", "dos_ef_per_ev_cell": 1.82, "spacegroup": "I-42d (122)", "magnetic_moment_mub_per_atom": 0.0000, "final_energy_ev_per_atom": -28.129, "lattice": [[-2.867, 3.887, -0.898], [-2.789, -2.743, -2.972], [0.034, -1.771, 5.664]], "species": ["Ag", "Pb", "Ag", "H", "H", "H", "H", "Pb"], "frac_coords": [[0.750, 0.250, 0.500], [0.000, 0.000, 0.000], [0.500, 0.500, 0.000], [0.510, 0.875, 0.250], [0.740, 0.375, 0.250], [0.125, 0.260, 0.750], [0.625, 0.490, 0.750], [0.250, 0.750, 0.500]]}

=====

{"formula": "AgH2Pd2", "functional": "SCAN", "state": "PBEsol geometry", "dos_ef_per_ev_cell": 0.74, "spacegroup": "I4/mmm (139)", "magnetic_moment_mub_per_atom": 0.0000, "final_energy_ev_per_atom": -20.842, "lattice": [[-0.452, -2.878, -0.923], [1.142, 0.702, -2.747], [4.752, -0.279, 3.605]], "species": ["Pd", "Pd", "H", "Ag", "H"], "frac_coords": [[0.342, 0.342, 0.685], [0.658, 0.658, 0.315], [0.250, 0.750, 0.500], [0.000, 0.000, 0.000], [0.750, 0.250, 0.500]]}

=====

{"formula": "AgH2Pd", "functional": "SCAN", "state": "PBEsol geometry", "dos_ef_per_ev_cell": 1.54, "spacegroup": "I-42d (122)", "magnetic_moment_mub_per_atom": 0.0000, "final_energy_ev_per_atom": -17.731, "lattice": [[4.191, 0.000, 0.000], [0.000, 4.191, 0.000], [-2.096, -2.096, 4.437]], "species": ["H", "Ag", "H", "Ag", "H", "Pd", "H", "Pd"], "frac_coords": [[0.125, 0.167, 0.750], [0.250, 0.750, 0.500], [0.625, 0.583, 0.750], [0.000, 0.000, 0.000], [0.417, 0.875, 0.250], [0.750, 0.250, 0.500], [0.833, 0.375, 0.250], [0.500, 0.500, 0.000]]}

=====

{"formula": "AgSn2HPd", "functional": "SCAN", "state": "PBEsol geometry", "dos_ef_per_ev_cell": 1.88, "spacegroup": "P4/mmm (123)", "magnetic_moment_mub_per_atom": 0.0000, "final_energy_ev_per_atom": -27.789, "lattice": [[3.254, 0.000, 0.000], [0.000, 5.317, 0.000], [0.000, 0.000, 5.317]], "species": ["Sn", "H", "Pd", "Ag", "Sn"], "frac_coords": [[0.000, 0.000, 0.500], [0.500, 0.000, 0.000], [0.000, 0.000, 0.000], [0.500, 0.500, 0.500], [0.000, 0.500, 0.000]]}

=====

{"formula": "AgH3Pt", "functional": "SCAN", "state": "PBEsol geometry", "dos_ef_per_ev_cell": 0.82, "spacegroup": "Pm-3m (221)", "magnetic_moment_mub_per_atom": 0.0000, "relative_energy_ev_per_atom": 0.7770, "final_energy_ev_per_atom": -21.542, "lattice": [[-1.254, -0.827, 3.191], [-3.113, -0.824, -1.437], [1.082, -3.328, -0.437]], "species": ["Ag", "Pt", "H", "H", "H"], "frac_coords": [[0.000, 0.000, 0.000], [0.500, 0.500, 0.500], [0.500, 0.000, 0.000], [0.000, 0.500, 0.000], [0.000, 0.000, 0.500]]}

=====

{"formula": "Ag2H2Pt", "functional": "SCAN", "state": "PBEsol geometry", "dos_ef_per_ev_cell": 1.51, "spacegroup": "P4/mbm (127)", "magnetic_moment_mub_per_atom": 0.0000, "final_energy_ev_per_atom": -27.899, "lattice": [[4.067, 0.000, 0.000], [0.000, 5.362, 0.000], [0.000, 0.000, 5.362]], "species": ["Ag", "Ag", "Pt", "Ag", "Pt", "H", "H", "Ag", "H", "H"], "frac_coords": [[0.500, 0.801, 0.301], [0.500, 0.199, 0.699], [0.000, 0.000, 0.000], [0.500, 0.699, 0.801], [0.000, 0.500, 0.500], [0.000, 0.238, 0.738], [0.000, 0.738, 0.762], [0.500, 0.301, 0.199], [0.000, 0.262, 0.238], [0.000, 0.762, 0.262]]}